No. 1
A geometry-optimized La7Nd12Dy structure. Source: Alexandria, functional PBE.

Summary:
Formation energy from the elements   181 meV per atom
Space group   R-3m (166)
ΔE to the lowest computed polymorph   0 meV per atom

Unit cell a=10.4464 b=10.4464 c=10.4464 alpha=113.23 beta=113.23 gamma=113.23
Closest atoms and distances in Å follow each position.
Positions (direct):
La (0.0000, 0.0000, 0.0000)  6 Nd 3.97, 2 Dy 4.16, 6 La 4.29
La (0.0718, 0.4169, 0.4169)  1 La 3.16, 2 Nd 3.39
La (0.4169, 0.0718, 0.4169)  1 La 3.16, 2 Nd 3.39
La (0.4169, 0.4169, 0.0718)  1 La 3.16, 2 Nd 3.39
La (0.5831, 0.5831, 0.9282)  1 La 3.16, 2 Nd 3.39
La (0.5831, 0.9282, 0.5831)  1 La 3.16, 2 Nd 3.39
La (0.9282, 0.5831, 0.5831)  1 La 3.16, 2 Nd 3.39
Nd (0.0000, 0.2853, 0.7147)  2 Nd 3.13
Nd (0.0000, 0.7147, 0.2853)  2 Nd 3.13
Nd (0.1613, 0.1613, 0.4870)  3 La 3.39-3.57, 4 Nd 3.51-3.55, 1 Dy 3.80
Nd (0.1613, 0.4870, 0.1613)  3 La 3.39-3.57, 4 Nd 3.51-3.55, 1 Dy 3.80
Nd (0.2853, 0.0000, 0.7147)  2 Nd 3.13
Nd (0.2853, 0.7147, 0.0000)  2 Nd 3.13
Nd (0.4870, 0.1613, 0.1613)  3 La 3.39-3.57, 4 Nd 3.51-3.55, 1 Dy 3.80
Nd (0.5130, 0.8387, 0.8387)  3 La 3.39-3.57, 4 Nd 3.51-3.55, 1 Dy 3.80
Nd (0.7147, 0.0000, 0.2853)  2 Nd 3.13
Nd (0.7147, 0.2853, 0.0000)  2 Nd 3.13
Nd (0.8387, 0.5130, 0.8387)  3 La 3.39-3.57, 4 Nd 3.51-3.55, 1 Dy 3.80
Nd (0.8387, 0.8387, 0.5130)  3 La 3.39-3.57, 4 Nd 3.51-3.55, 1 Dy 3.80
Dy (0.5000, 0.5000, 0.5000)  6 Nd 3.80, 8 La 3.85-4.16

***

No. 2
A geometry-optimized GeMoRh2Se structure. Source: Alexandria, functional PBE.

Summary:
Space group   P4/mmm (123)
Energy relative to the elements, uncorrected   1.07 eV/atom

Unit cell a=4.5376 b=4.5376 c=4.9640 alpha=90.00 beta=90.00 gamma=90.00
Closest atoms and distances in Å follow each position.
Positions (direct):
Ge (0.0000, 0.0000, 0.0000)  2 Se 2.48
Mo (0.5000, 0.5000, 0.0000)  4 Ge 3.21, 8 Rh 3.36
Rh (0.0000, 0.5000, 0.5000)  2 Se 2.27
Rh (0.5000, 0.0000, 0.5000)  2 Se 2.27
Se (0.0000, 0.0000, 0.5000)  4 Rh 2.27, 2 Ge 2.48

***

No. 3
A geometry-optimized Sm2TmNpP4 structure. Source: Alexandria, functional PBE.

Summary:
Formation energy from the elements   -1395 meV per atom
Space group   P2/m (10)

Unit cell a=6.9580 b=4.0204 c=6.9783 alpha=90.00 beta=109.30 gamma=90.00
Closest atoms and distances in Å follow each position.
Positions (direct):
Sm (0.0000, 0.0000, 0.0000)  6 P 2.90
Sm (0.5000, 0.5000, 0.0000)  6 P 2.88-2.89
Tm (0.0000, 0.5000, 0.5000)  6 P 2.80-2.81
Np (0.5000, 0.0000, 0.5000)  6 P 2.78-2.80
P (0.2487, 0.0000, 0.7378)  1 Np 2.78, 2 Tm 2.81, 3 Sm 2.89-2.90
P (0.2556, 0.5000, 0.2624)  2 Np 2.80, 1 Tm 2.80, 3 Sm 2.88-2.90
P (0.7444, 0.5000, 0.7376)  2 Np 2.80, 1 Tm 2.80, 3 Sm 2.88-2.90
P (0.7513, 0.0000, 0.2622)  1 Np 2.78, 2 Tm 2.81, 3 Sm 2.89-2.90

***

No. 4
A geometry-optimized Ba2YSc structure. Source: Alexandria, functional PBE.

Summary:
Formation energy from the elements   406 meV per atom
Space group   P2/m (10)
ΔE to the lowest computed polymorph   216 meV per atom

Unit cell a=3.7072 b=6.2266 c=7.0200 alpha=90.00 beta=99.25 gamma=90.00
Closest atoms and distances in Å follow each position.
Positions (direct):
Ba (0.2201, 0.0000, 0.2566)  5 Ba 3.70-4.02, 2 Sc 3.70, 2 Y 3.82
Ba (0.7799, 0.0000, 0.7434)  5 Ba 3.70-4.02, 2 Sc 3.70, 2 Y 3.82
Y (0.5000, 0.5000, 0.0000)  2 Sc 3.70, 2 Y 3.71, 4 Ba 3.82
Sc (0.0000, 0.5000, 0.5000)  2 Y 3.70, 4 Ba 3.70, 2 Sc 3.71

***

No. 5
A geometry-optimized AlPIrS2 structure. Source: Alexandria, functional PBE.

Summary:
Space group   P4/mmm (123)
ΔE to the lowest computed polymorph   0 meV per atom
Energy relative to the elements, uncorrected   0.52 eV/atom

Unit cell a=4.8949 b=4.8949 c=4.3615 alpha=90.00 beta=90.00 gamma=90.00
Closest atoms and distances in Å follow each position.
Positions (direct):
Al (0.0000, 0.0000, 0.0000)  8 S 3.28, 4 P 3.46
P (0.5000, 0.5000, 0.0000)  2 Ir 2.18
Ir (0.5000, 0.5000, 0.5000)  2 P 2.18
S (0.0000, 0.5000, 0.5000)  2 Ir 2.45
S (0.5000, 0.0000, 0.5000)  2 Ir 2.45

***

No. 6
A geometry-optimized YZnFe2 structure. Source: Alexandria, functional PBE.

Summary:
Formation energy from the elements   170 meV per atom
Space group   I-4m2 (119)

Unit cell a=4.8687 b=4.8687 c=4.8687 alpha=130.22 beta=130.22 gamma=73.06
Closest atoms and distances in Å follow each position.
Positions (direct):
Y (0.0000, 0.0000, 0.0000)  8 Fe 2.83-2.90, 4 Zn 2.83
Zn (0.2500, 0.7500, 0.5000)  8 Fe 2.83-2.90, 4 Y 2.83
Fe (0.5000, 0.5000, 0.0000)  4 Fe 2.83, 4 Zn 2.83, 4 Y 2.90
Fe (0.7500, 0.2500, 0.5000)  4 Fe 2.83, 4 Y 2.83, 4 Zn 2.90

***

No. 7
A geometry-optimized LiBe3P structure. Source: Alexandria, functional PBE.

Summary:
Formation energy from the elements   660 meV per atom
Space group   Pm-3m (221)
ΔE to the lowest computed polymorph   0 meV per atom

Unit cell a=4.1188 b=4.1188 c=4.1188 alpha=90.00 beta=90.00 gamma=90.00
Closest atoms and distances in Å follow each position.
Positions (direct):
Li (0.0000, 0.0000, 0.0000)  12 Be 2.91
Be (0.0000, 0.5000, 0.5000)  2 P 2.06
Be (0.5000, 0.0000, 0.5000)  2 P 2.06
Be (0.5000, 0.5000, 0.0000)  2 P 2.06
P (0.5000, 0.5000, 0.5000)  6 Be 2.06

***

No. 8
A geometry-optimized CoSi3 structure. Source: Alexandria, functional PBE.

Summary:
Space group   Pm-3m (221)
Energy relative to the elements, uncorrected   0.51 eV/atom

Unit cell a=4.3134 b=4.3134 c=4.3134 alpha=90.00 beta=90.00 gamma=90.00
Closest atoms and distances in Å follow each position.
Positions (direct):
Co (0.0000, 0.0000, 0.0000)  6 Si 2.16
Si (0.0000, 0.0000, 0.5000)  2 Co 2.16
Si (0.0000, 0.5000, 0.0000)  2 Co 2.16
Si (0.5000, 0.0000, 0.0000)  2 Co 2.16

***

No. 9
A geometry-optimized HoTl5Se4 structure. Source: Alexandria, functional PBE.

Summary:
Space group   C2/m (12)
Energy relative to the elements, uncorrected   -0.76 eV/atom

Unit cell a=9.7624 b=9.7624 c=8.7144 alpha=110.27 beta=110.27 gamma=25.23
Closest atoms and distances in Å follow each position.
Positions (direct):
Ho (0.0000, 0.0000, 0.0000)  6 Se 2.89-2.90
Tl (0.0000, 0.0000, 0.5000)  4 Se 3.28
Tl (0.3096, 0.3096, 0.6867)  3 Se 2.97-3.06
Tl (0.3445, 0.3445, 0.1985)  4 Se 3.00-3.34
Tl (0.6555, 0.6555, 0.8015)  4 Se 3.00-3.34
Tl (0.6904, 0.6904, 0.3133)  3 Se 2.97-3.06
Se (0.1578, 0.1578, 0.0459)  1 Ho 2.89, 4 Tl 3.00-3.06
Se (0.4743, 0.4743, 0.7610)  2 Ho 2.90, 1 Tl 2.97
Se (0.5257, 0.5257, 0.2390)  2 Ho 2.90, 1 Tl 2.97
Se (0.8422, 0.8422, 0.9541)  1 Ho 2.89, 4 Tl 3.00-3.06

***

No. 10
A geometry-optimized MgTl2Au structure. Source: Alexandria, functional PBE.

Summary:
Formation energy from the elements   -33 meV per atom
Space group   I4/mmm (139)
ΔE to the lowest computed polymorph   134 meV per atom

Unit cell a=5.7944 b=5.7944 c=5.7944 alpha=134.56 beta=134.56 gamma=66.21
Closest atoms and distances in Å follow each position.
Positions (direct):
Mg (0.0000, 0.0000, 0.0000)  4 Au 3.16, 8 Tl 3.30
Tl (0.2500, 0.7500, 0.5000)  4 Tl 3.16, 4 Au 3.30, 4 Mg 3.30
Tl (0.7500, 0.2500, 0.5000)  4 Tl 3.16, 4 Au 3.30, 4 Mg 3.30
Au (0.5000, 0.5000, 0.0000)  4 Mg 3.16, 8 Tl 3.30

***

No. 11
A geometry-optimized KTa2Te structure. Source: Alexandria, functional PBE.

Summary:
Space group   R-3m (166)
Energy relative to the elements, uncorrected   0.90 eV/atom

Unit cell a=11.2190 b=11.2190 c=11.2190 alpha=16.12 beta=16.12 gamma=16.12
Closest atoms and distances in Å follow each position.
Positions (direct):
K (0.0000, 0.0000, 0.0000)  6 K 3.15
Ta (0.2356, 0.2356, 0.2356)  3 Te 2.92, 6 Ta 3.15
Ta (0.7644, 0.7644, 0.7644)  3 Te 2.92, 6 Ta 3.15
Te (0.5000, 0.5000, 0.5000)  6 Ta 2.92, 6 Te 3.15

***

No. 12
A geometry-optimized Tl7Hg2Bi2 structure. Source: Alexandria, functional PBE.

Summary:
Formation energy from the elements   5 meV per atom
Space group   Imm2 (44)
ΔE to the lowest computed polymorph   13 meV per atom

Unit cell a=9.2272 b=9.2272 c=9.2272 alpha=146.21 beta=65.67 gamma=125.52
Closest atoms and distances in Å follow each position.
Positions (direct):
Tl (0.0000, 0.0000, 0.0000)  2 Hg 3.33, 3 Bi 3.35-3.65, 2 Tl 3.53
Tl (0.1136, 0.4462, 0.6675)  3 Hg 3.21-3.26, 1 Bi 3.29, 3 Tl 3.49-3.50
Tl (0.2436, 0.8792, 0.3645)  3 Hg 3.40-3.52, 3 Bi 3.41-3.47, 4 Tl 3.69-3.74
Tl (0.5147, 0.8792, 0.6355)  3 Hg 3.40-3.52, 3 Bi 3.41-3.47, 4 Tl 3.69-3.74
Tl (0.5349, 0.6830, 0.8519)  3 Bi 3.34-3.54, 6 Tl 3.49-3.72, 2 Hg 3.61
Tl (0.7787, 0.4462, 0.3325)  3 Hg 3.21-3.26, 1 Bi 3.29, 3 Tl 3.49-3.50
Tl (0.8311, 0.6830, 0.1481)  3 Bi 3.34-3.54, 6 Tl 3.49-3.72, 2 Hg 3.61
Hg (0.3561, 0.1595, 0.1966)  7 Tl 3.21-3.52
Hg (0.9630, 0.1595, 0.8034)  7 Tl 3.21-3.52
Bi (0.3965, 0.3965, 0.0000)  7 Tl 3.34-3.41, 2 Hg 3.65
Bi (0.7061, 0.2061, 0.5000)  10 Tl 3.29-3.65

***

No. 13
A geometry-optimized TmTlPd5 structure. Source: Alexandria, functional PBE.

Summary:
Formation energy from the elements   -477 meV per atom
Space group   C2/c (15)

Unit cell a=5.1948 b=5.1948 c=9.9563 alpha=102.22 beta=102.22 gamma=97.52
Closest atoms and distances in Å follow each position.
Positions (direct):
Tm (0.2260, 0.7740, 0.7500)  9 Pd 2.77-2.96
Tm (0.7740, 0.2260, 0.2500)  9 Pd 2.77-2.96
Tl (0.0000, 0.5000, 0.0000)  6 Pd 2.70-2.89
Tl (0.5000, 0.0000, 0.5000)  6 Pd 2.70-2.89
Pd (0.0845, 0.2773, 0.5431)  5 Pd 2.73-2.97, 1 Tl 2.80, 2 Tm 2.84-2.96
Pd (0.1281, 0.8719, 0.2500)  2 Tl 2.70, 6 Pd 2.73-2.92, 1 Tm 2.77
Pd (0.2773, 0.0845, 0.0431)  5 Pd 2.73-2.97, 1 Tl 2.80, 2 Tm 2.84-2.96
Pd (0.3494, 0.4399, 0.3513)  7 Pd 2.78-3.09, 2 Tm 2.87-2.93, 2 Tl 2.89-3.07
Pd (0.4399, 0.3494, 0.8513)  7 Pd 2.78-3.09, 2 Tm 2.87-2.93, 2 Tl 2.89-3.07
Pd (0.5601, 0.6506, 0.1487)  7 Pd 2.78-3.09, 2 Tm 2.87-2.93, 2 Tl 2.89-3.07
Pd (0.6506, 0.5601, 0.6487)  7 Pd 2.78-3.09, 2 Tm 2.87-2.93, 2 Tl 2.89-3.07
Pd (0.7227, 0.9155, 0.9569)  5 Pd 2.73-2.97, 1 Tl 2.80, 2 Tm 2.84-2.96
Pd (0.8719, 0.1281, 0.7500)  2 Tl 2.70, 6 Pd 2.73-2.92, 1 Tm 2.77
Pd (0.9155, 0.7227, 0.4569)  5 Pd 2.73-2.97, 1 Tl 2.80, 2 Tm 2.84-2.96

***

No. 14
A geometry-optimized AcPrF2 structure. Source: Alexandria, functional PBE.

Summary:
Space group   R-3m (166)
Energy relative to the elements, uncorrected   -2.63 eV/atom

Unit cell a=7.0601 b=7.0601 c=7.0601 alpha=34.12 beta=34.12 gamma=34.12
Closest atoms and distances in Å follow each position.
Positions (direct):
Ac (0.0000, 0.0000, 0.0000)  2 F 2.66
Pr (0.5000, 0.5000, 0.5000)  6 F 2.48
F (0.1337, 0.1337, 0.1337)  3 Pr 2.48, 1 Ac 2.66, 3 F 2.73
F (0.8663, 0.8663, 0.8663)  3 Pr 2.48, 1 Ac 2.66, 3 F 2.73

***

No. 15
A geometry-optimized Ba2VMo2 structure. Source: Alexandria, functional PBE.

Summary:
Formation energy from the elements   1061 meV per atom
Space group   I4/mmm (139)
ΔE to the lowest computed polymorph   0 meV per atom

Unit cell a=11.5754 b=11.5754 c=11.5754 alpha=162.06 beta=162.06 gamma=25.47
Closest atoms and distances in Å follow each position.
Positions (direct):
Ba (0.1106, 0.1106, 0.0000)  4 V 3.57, 4 Ba 3.61, 4 Mo 3.63
Ba (0.8894, 0.8894, 0.0000)  4 V 3.57, 4 Ba 3.61, 4 Mo 3.63
V (0.5000, 0.5000, 0.0000)  8 Ba 3.57, 4 V 3.61
Mo (0.2500, 0.7500, 0.5000)  4 Mo 2.55
Mo (0.7500, 0.2500, 0.5000)  4 Mo 2.55

***

No. 16
A geometry-optimized Cr2IBr structure. Source: Alexandria, functional PBE.

Summary:
Space group   I-42d (122)
ΔE to the lowest computed polymorph   0 meV per atom
Energy relative to the elements, uncorrected   0.27 eV/atom

Unit cell a=8.2891 b=8.2891 c=8.2891 alpha=138.14 beta=138.14 gamma=60.68
Closest atoms and distances in Å follow each position.
Positions (direct):
Cr (0.0978, 0.6250, 0.9728)  2 Br 2.67, 2 I 2.84
Cr (0.3750, 0.3478, 0.4728)  2 Br 2.67, 2 I 2.84
Cr (0.6522, 0.1250, 0.0272)  2 Br 2.67, 2 I 2.84
Cr (0.8750, 0.9022, 0.5272)  2 Br 2.67, 2 I 2.84
I (0.2500, 0.7500, 0.5000)  4 Cr 2.84
I (0.5000, 0.5000, 0.0000)  4 Cr 2.84
Br (0.0000, 0.0000, 0.0000)  4 Cr 2.67
Br (0.7500, 0.2500, 0.5000)  4 Cr 2.67

***

No. 17
A geometry-optimized LiCeNdCd structure. Source: Alexandria, functional PBE.

Summary:
Formation energy from the elements   -3 meV per atom
Space group   F-43m (216)

Unit cell a=5.4013 b=5.4013 c=5.4013 alpha=60.00 beta=60.00 gamma=60.00
Closest atoms and distances in Å follow each position.
Positions (direct):
Li (0.0000, 0.0000, 0.0000)  4 Ce 3.31, 4 Nd 3.31
Ce (0.7500, 0.7500, 0.7500)  4 Cd 3.31, 4 Li 3.31
Nd (0.2500, 0.2500, 0.2500)  4 Cd 3.31, 4 Li 3.31
Cd (0.5000, 0.5000, 0.5000)  4 Ce 3.31, 4 Nd 3.31

***

No. 18
A geometry-optimized Ac2Ni4SnAs3 structure. Source: Alexandria, functional PBE.

Summary:
Formation energy from the elements   -718 meV per atom
Space group   P-4m2 (115)

Unit cell a=4.3365 b=4.3365 c=10.1040 alpha=90.00 beta=90.00 gamma=90.00
Closest atoms and distances in Å follow each position.
Positions (direct):
Ac (0.0000, 0.5000, 0.2344)  8 Ni 3.21-3.34, 6 As 3.27-3.45, 2 Sn 3.45
Ac (0.5000, 0.0000, 0.7656)  8 Ni 3.21-3.34, 6 As 3.27-3.45, 2 Sn 3.45
Ni (0.0000, 0.0000, 0.0000)  4 As 2.50
Ni (0.0000, 0.5000, 0.6349)  3 As 2.45-2.56, 2 Sn 2.56
Ni (0.5000, 0.0000, 0.3651)  3 As 2.45-2.56, 2 Sn 2.56
Ni (0.5000, 0.5000, 0.0000)  4 As 2.50
Sn (0.0000, 0.0000, 0.5000)  4 Ni 2.56
As (0.0000, 0.5000, 0.8776)  5 Ni 2.45-2.50
As (0.5000, 0.0000, 0.1224)  5 Ni 2.45-2.50
As (0.5000, 0.5000, 0.5000)  4 Ni 2.56

***

No. 19
A geometry-optimized PmNd2Y2Ho2 structure. Source: Alexandria, functional PBE.

Summary:
Formation energy from the elements   17 meV per atom
Space group   C2/m (12)

Unit cell a=6.2200 b=6.2200 c=8.0697 alpha=97.42 beta=97.42 gamma=48.39
Closest atoms and distances in Å follow each position.
Positions (direct):
Pm (0.0000, 0.0000, 0.0000)  6 Ho 3.59-3.60, 4 Nd 3.59, 2 Y 3.61
Nd (0.4284, 0.4284, 0.2832)  4 Ho 3.59, 2 Pm 3.59, 5 Y 3.60-3.62, 1 Nd 3.64
Nd (0.5716, 0.5716, 0.7168)  4 Ho 3.59, 2 Pm 3.59, 5 Y 3.60-3.62, 1 Nd 3.64
Y (0.1433, 0.1433, 0.4295)  3 Y 3.59, 3 Ho 3.60-3.61, 5 Nd 3.60-3.62, 1 Pm 3.61
Y (0.8567, 0.8567, 0.5705)  3 Y 3.59, 3 Ho 3.60-3.61, 5 Nd 3.60-3.62, 1 Pm 3.61
Ho (0.2855, 0.2855, 0.8571)  4 Nd 3.59, 3 Pm 3.59-3.60, 3 Y 3.60-3.61, 2 Ho 3.61
Ho (0.7145, 0.7145, 0.1429)  4 Nd 3.59, 3 Pm 3.59-3.60, 3 Y 3.60-3.61, 2 Ho 3.61

***

No. 20
A geometry-optimized Sr2ScGe4Pt3 structure. Source: Alexandria, functional PBE.

Summary:
Formation energy from the elements   -807 meV per atom
Space group   P-4m2 (115)

Unit cell a=4.3715 b=4.3715 c=10.9939 alpha=90.00 beta=90.00 gamma=90.00
Closest atoms and distances in Å follow each position.
Positions (direct):
Sr (0.0000, 0.5000, 0.2424)  8 Ge 3.32-3.45, 6 Pt 3.38-3.58, 2 Sc 3.58
Sr (0.5000, 0.0000, 0.7576)  8 Ge 3.32-3.45, 6 Pt 3.38-3.58, 2 Sc 3.58
Sc (0.0000, 0.0000, 0.5000)  4 Ge 2.72
Ge (0.0000, 0.0000, 0.0000)  4 Pt 2.55
Ge (0.0000, 0.5000, 0.6477)  3 Pt 2.56-2.72, 2 Sc 2.72
Ge (0.5000, 0.0000, 0.3523)  3 Pt 2.56-2.72, 2 Sc 2.72
Ge (0.5000, 0.5000, 0.0000)  4 Pt 2.55
Pt (0.0000, 0.5000, 0.8809)  5 Ge 2.55-2.56
Pt (0.5000, 0.0000, 0.1191)  5 Ge 2.55-2.56
Pt (0.5000, 0.5000, 0.5000)  4 Ge 2.72